[1]
LaPm6Sm2Ho3 PBE optimized geometry; magnetization = 0.00 Bohr magnetons per cell; raw total energy = -4.699 eV per atom
1.0
3.1431 -5.4449 0.0000
3.1431 5.4449 0.0000
-2.0959 0.0000 11.8115
La Pm Sm Ho
1 6 2 3
direct
0.0000 0.0000 0.0000
0.0853 0.4194 0.2544
0.2487 0.2487 0.7454
0.4194 0.0853 0.2544
0.5806 0.9147 0.7456
0.7513 0.7513 0.2546
0.9147 0.5806 0.7456
0.3335 0.6665 0.0000
0.6665 0.3335 0.0000
0.1670 0.8330 0.5000
0.5000 0.5000 0.5000
0.8330 0.1670 0.5000

***

[2]
LaPm2Sm6Ho PBE optimized geometry; magnetization = 0.00 Bohr magnetons per cell; raw total energy = -4.612 eV per atom
1.0
4.5815 -7.6751 0.0000
4.5815 7.6751 0.0000
-1.5897 0.0000 9.7858
La Pm Sm Ho
2 4 12 2
direct
0.0957 0.9043 0.7500
0.9043 0.0957 0.2500
0.2100 0.3118 0.9585
0.3118 0.2100 0.4585
0.6882 0.7900 0.5415
0.7900 0.6882 0.0415
0.0005 0.2077 0.6223
0.0779 0.5278 0.1831
0.2077 0.0005 0.1223
0.2507 0.6203 0.5560
0.3797 0.7493 0.9440
0.4722 0.9221 0.3169
0.5278 0.0779 0.6831
0.6203 0.2507 0.0560
0.7493 0.3797 0.4440
0.7923 0.9995 0.8777
0.9221 0.4722 0.8169
0.9995 0.7923 0.3777
0.4795 0.5205 0.2500
0.5205 0.4795 0.7500

***

[3]
LaPm6Sm2Ho PBE optimized geometry; magnetization = 0.01 Bohr magnetons per cell; raw total energy = -4.627 eV per atom
1.0
4.6002 -7.6958 0.0000
4.6002 7.6958 0.0000
-1.5531 0.0000 9.7846
La Pm Sm Ho
2 12 4 2
direct
0.0956 0.9044 0.7500
0.9044 0.0956 0.2500
0.0010 0.7926 0.3777
0.0756 0.5258 0.1827
0.2074 0.9990 0.1223
0.2536 0.6181 0.5557
0.3819 0.7464 0.9443
0.4742 0.9244 0.3173
0.5258 0.0756 0.6827
0.6181 0.2536 0.0557
0.7464 0.3819 0.4443
0.7926 0.0010 0.8777
0.9244 0.4742 0.8173
0.9990 0.2074 0.6223
0.2100 0.3100 0.9576
0.3100 0.2100 0.4576
0.6900 0.7900 0.5424
0.7900 0.6900 0.0424
0.4772 0.5228 0.2500
0.5228 0.4772 0.7500

***

no.,energy relative to the elements (eV/f.u.)
1,0.21
2,1.20
3,1.18